Density functional theory data (PBE) for a relaxed SrTlCo2Br8 crystal.

Cell: 10.7210 10.7210 10.7210 Å, 37.74 37.74 37.74°
With the nearest neighbours (Å) after each atom.
Fractional positions:
1 Sr 0.0000 0.0000 0.0000  6 Br 3.10
2 Tl 0.5000 0.5000 0.5000  12 Br 3.83-4.00
3 Co 0.2465 0.2465 0.2465  4 Br 2.31-2.37
4 Co 0.7535 0.7535 0.7535  4 Br 2.31-2.37
5 Br 0.0665 0.7000 0.4188  1 Co 2.37
6 Br 0.1689 0.1689 0.1689  1 Co 2.31
7 Br 0.3000 0.5812 0.9335  1 Co 2.37
8 Br 0.4188 0.0665 0.7000  1 Co 2.37
9 Br 0.5812 0.9335 0.3000  1 Co 2.37
10 Br 0.7000 0.4188 0.0665  1 Co 2.37
11 Br 0.8311 0.8311 0.8311  1 Co 2.31
12 Br 0.9335 0.3000 0.5812  1 Co 2.37

- Raw total energy: -3.4473 eV/atom
- Magnetic moment: 7.0 μB/cell
- Density: 4.2 g/cm3